1.
{"formula": "Re3W", "functional": "PBE", "state": "relaxed", "cell": [[4.9919, 0.0000, 0.0000], [0.0000, 4.9919, 0.0000], [0.0000, 0.0000, 4.9919]], "species": ["Re", "Re", "Re", "W", "W", "Re", "Re", "Re"], "frac_coords": [[0.0000, 0.2500, 0.5000], [0.2500, 0.5000, 0.0000], [0.5000, 0.0000, 0.2500], [0.0000, 0.0000, 0.0000], [0.5000, 0.5000, 0.5000], [0.7500, 0.5000, 0.0000], [0.5000, 0.0000, 0.7500], [0.0000, 0.7500, 0.5000]], "n_ef_per_ev_cell": 6.48, "relative_energy_ev_per_atom": 0.106, "total_magnetization_mub_per_fu": 0.0, "dft_energy_ry_per_atom": -0.9092, "sg": "Pm-3n"}


2.
{"formula": "Re3W", "functional": "PBE", "state": "relaxed", "cell": [[-2.5817, -0.7146, -0.4126], [0.3814, -0.8978, 5.1034], [-2.3838, 3.3533, 3.1731]], "species": ["W", "Re", "Re", "Re"], "frac_coords": [[0.0000, 0.5000, 0.5000], [0.0000, 0.0000, 0.0000], [0.5000, 0.5000, 0.0000], [0.5000, 0.0000, 0.5000]], "n_ef_per_ev_cell": 4.26, "relative_energy_ev_per_atom": 0.123, "total_magnetization_mub_per_fu": 0.0, "dft_energy_ry_per_atom": -0.9079, "sg": "R-3m"}


3.
{"formula": "Re2W", "functional": "PBE", "state": "relaxed", "cell": [[-6.9741, -5.7116, 8.7451], [-5.0080, -3.2073, 11.0621], [4.5748, 5.8039, -10.1550]], "species": ["Re", "W", "Re", "Re", "W", "Re"], "frac_coords": [[0.5803, 0.5803, 0.0000], [0.0000, 0.0000, 0.0000], [0.3303, 0.8303, 0.5000], [0.4197, 0.4197, 0.0000], [0.7500, 0.2500, 0.5000], [0.1697, 0.6697, 0.5000]], "n_ef_per_ev_cell": 5.47, "relative_energy_ev_per_atom": 0.363, "total_magnetization_mub_per_fu": 0.0, "dft_energy_ry_per_atom": -0.8918, "sg": "I4_1/amd"}


4.
{"formula": "Re3W", "functional": "PBE", "state": "relaxed", "cell": [[-2.4607, -1.3242, 0.1086], [2.1627, -3.9866, 0.3929], [-0.0330, 0.4540, 4.7883]], "species": ["Re", "W", "Re", "Re"], "frac_coords": [[0.5000, 0.0000, 0.5006], [0.0000, 0.5000, 0.3344], [0.0000, 0.0000, 0.9969], [0.5000, 0.5000, 0.8348]], "n_ef_per_ev_cell": 4.31, "relative_energy_ev_per_atom": 0.039, "total_magnetization_mub_per_fu": 0.0, "dft_energy_ry_per_atom": -0.9140, "sg": "Pmm2"}


5.
{"formula": "Y2ReW", "functional": "PBE", "state": "relaxed", "cell": [[3.3449, 0.0000, 0.0000], [0.0000, 3.3449, 0.0000], [0.0000, 0.0000, 7.5720]], "species": ["Y", "Y", "W", "Re"], "frac_coords": [[0.0000, 0.0000, 0.0145], [0.0000, 0.0000, 0.4855], [0.5000, 0.5000, 0.7500], [0.5000, 0.5000, 0.2500]], "n_ef_per_ev_cell": 6.81, "relative_energy_ev_per_atom": 0.621, "total_magnetization_mub_per_fu": 0.0, "dft_energy_ry_per_atom": -0.6504, "sg": "P4/mmm"}


6.
{"formula": "YReW2", "functional": "PBE", "state": "relaxed", "cell": [[5.4811, -0.0010, -0.0076], [-2.5732, 4.8395, -0.0076], [0.4585, 0.7629, 2.6551]], "species": ["W", "Re", "W", "Y"], "frac_coords": [[0.0000, 0.0000, 0.0000], [0.0000, 0.5000, 0.5000], [0.5000, 0.5000, 0.0000], [0.5000, 0.0000, 0.5000]], "n_ef_per_ev_cell": 3.36, "relative_energy_ev_per_atom": 0.159, "total_magnetization_mub_per_fu": 0.0, "dft_energy_ry_per_atom": -0.7908, "sg": "C2/m"}


7.
{"formula": "YRe2W", "functional": "PBE", "state": "relaxed", "cell": [[-1.9569, 3.6522, 3.6016], [-4.2334, 3.1991, 1.4085], [-2.8379, -1.7540, 3.3082]], "species": ["W", "Re", "Y", "Re"], "frac_coords": [[0.4829, 0.4829, 0.5169], [0.0165, 0.0165, 0.9837], [0.2514, 0.2514, 0.2486], [0.7492, 0.7492, 0.7508]], "n_ef_per_ev_cell": 1.80, "relative_energy_ev_per_atom": 0.159, "total_magnetization_mub_per_fu": 0.0, "dft_energy_ry_per_atom": -0.7917, "sg": "Imm2"}


8.
{"formula": "YReW2", "functional": "PBE", "state": "relaxed", "cell": [[9.5477, 0.0268, 0.0157], [9.0703, 2.9813, 0.0157], [9.0703, 1.4655, 2.5963]], "species": ["Y", "Re", "W", "W"], "frac_coords": [[0.4986, 0.4986, 0.4986], [0.7412, 0.7412, 0.7412], [0.2575, 0.2575, 0.2575], [0.0027, 0.0027, 0.0027]], "n_ef_per_ev_cell": 3.09, "relative_energy_ev_per_atom": 0.276, "total_magnetization_mub_per_fu": 0.0, "dft_energy_ry_per_atom": -0.7822, "sg": "R3m"}